{
  "formula": "Ca4Cu3Pt",
  "functional": "PBE",
  "state": "relaxed",
  "lattice_angstrom": [[-1.999, 2.128, 2.923], [-1.402, -3.676, 1.717], [8.722, -0.403, 6.259]],
  "species": ["Ca", "Ca", "Ca", "Ca", "Pt", "Cu", "Cu", "Cu"],
  "frac_coords": [[0.500, 0.500, 0.351], [0.000, 0.500, 0.865], [0.000, 0.000, 0.140], [0.500, 0.000, 0.642], [0.500, 0.500, 0.069], [0.000, 0.500, 0.558], [0.000, 0.000, 0.441], [0.500, 0.000, 0.934]],
  "magmom_total_mub_per_atom": 0.00,
  "volume_a3_per_cell": 191,
  "final_energy_ev_per_atom": -3.6674,
  "crystal_system": "orthorhombic"
}